The following is a DFT calculation (GGA+U) of MnGa2GeO6 after structural relaxation.

Calculated values
VASP energy	-0.4798	Ry per atom
magnetization	0.500	μB per atom

Cell: 9.4862 9.1385 5.2727 Å, 90.00 97.67 90.00°
Closest atoms and distances in Å follow each position.
Space group C2/c (No. 15)
Asymmetric unit:
Mn: 0.0000 0.0866 0.2500 x4  6 O 2.14-2.22
Ga: 0.1851 0.4034 0.2913 x8  4 O 1.83-1.91
Ge: 0.0000 0.2705 0.7500 x4  6 O 1.86-1.98
O: 0.1032 0.2607 0.0758 x8  1 Ga 1.83, 1 Ge 1.86
O: 0.1171 0.1091 0.6393 x8  1 Ga 1.87, 1 Ge 1.98
O: 0.1306 0.4158 0.6270 x8  2 Ga 1.90-1.91, 1 Ge 1.98